Entry 1:
{
  "formula": "YMg3O",
  "functional": "PBE-GGA",
  "state": "optimized geometry",
  "cell": [[6.128, 0.000, 0.000], [0.000, 6.128, 0.000], [0.000, 0.000, 6.128]],
  "species": ["Y", "Mg", "Mg", "Mg", "O"],
  "fractional_positions": [[0.000, 0.000, 0.000], [0.000, 0.000, 0.500], [0.000, 0.500, 0.000], [0.500, 0.000, 0.000], [0.500, 0.500, 0.500]],
  "n_ef_per_ev_atom": 0.91,
  "mass_density_g_cm3": 1.28,
  "volume_a3_per_atom": 46.0,
  "de_polymorph_mev_per_atom": 2018,
  "final_energy_ev_per_atom": -1.840,
  "m_tot_mub_per_fu": 0.00,
  "raw_formation_energy_ev_per_atom": 1.402
}


Entry 2:
{
  "formula": "Y2MgZrO",
  "functional": "PBE-GGA",
  "state": "optimized geometry",
  "cell": [[4.838, 0.000, 0.000], [0.000, 4.838, 0.000], [0.000, 0.000, 4.537]],
  "species": ["Y", "Y", "Mg", "Zr", "O"],
  "fractional_positions": [[0.000, 0.500, 0.000], [0.500, 0.000, 0.000], [0.000, 0.000, 0.500], [0.500, 0.500, 0.500], [0.500, 0.500, 0.000]],
  "n_ef_per_ev_atom": 0.71,
  "mass_density_g_cm3": 4.84,
  "volume_a3_per_atom": 21.2,
  "final_energy_ev_per_atom": -6.722,
  "m_tot_mub_per_fu": 0.00,
  "raw_formation_energy_ev_per_atom": -1.116
}